Entry 1:
Here is crystalline NaMg5Tl5 at its relaxed geometry from the Alexandria database. Energies are from GGA-PBE.

Geometry as extended XYZ:
```
11
Lattice="5.692 0.000 0.000 -2.846 4.930 0.000 0.000 0.000 10.785" Properties=species:S:1:pos:R:3 pbc="T T T"
Na 0.000 3.286 0.000
Mg 1.435 0.829 5.393
Mg 0.000 0.000 2.796
Mg 2.846 3.272 5.393
Mg 4.257 0.829 5.393
Mg 0.000 0.000 7.989
Tl 2.846 1.643 1.792
Tl 2.846 1.643 8.993
Tl 0.000 3.286 3.593
Tl 0.000 3.286 7.192
Tl 0.000 0.000 0.000
```

As for the calculated density: 6.40 g/cm3. The calculation puts the calculated volume at 302.64 Å³ per cell. The value obtained for the total energy is -1.8953 eV per atom. As for the energy of formation: 0.02 eV per atom. The value obtained for the density of states at the Fermi level is 4.4 states/eV/f.u.



Entry 2:
Here is crystalline NaMgTl6 at its relaxed geometry from the Alexandria database. Energies are from GGA-PBE.

Geometry as extended XYZ:
```
8
Lattice="-3.823 -0.488 -2.952 1.073 -4.695 -0.614 -5.546 -2.256 7.556" Properties=species:S:1:pos:R:3 pbc="T T T"
Na 0.000 0.000 0.000
Mg -2.773 -1.128 3.778
Tl -1.375 -2.591 -1.783
Tl -4.148 -3.719 1.995
Tl -3.330 -0.821 0.457
Tl -6.039 -1.923 4.148
Tl -0.882 -2.924 1.625
Tl -3.591 -4.026 5.316
```

For the offset from the most stable computed form, the calculation gives 0.0 meV/atom. As for the calculated density: 9.31 g/cm3. The calculation puts the calculated volume at 227.20 Å³ per cell. The value obtained for the total energy is -2.1664 eV per atom. As for the energy of formation: -0.03 eV per atom. The value obtained for the density of states at the Fermi level is 4.2 states/eV/f.u.



Entry 3:
Here is crystalline NaMg3Tl3 at its relaxed geometry from the Alexandria database. Energies are from GGA-PBE.

Geometry as extended XYZ:
```
14
Lattice="-0.688 -3.066 -8.153 -6.758 -5.082 -2.201 -5.653 2.184 -5.026" Properties=species:S:1:pos:R:3 pbc="T T T"
Na -8.123 -0.550 -8.472
Na -4.976 -5.414 -6.908
Mg -9.162 -3.879 -8.776
Mg -5.007 -1.503 -9.751
Mg -6.936 -1.311 -5.268
Mg -6.162 -4.653 -10.112
Mg -8.091 -4.460 -5.629
Mg -3.937 -2.085 -6.604
Tl -5.453 -3.653 -4.244
Tl -3.244 -3.780 -9.089
Tl -7.778 -6.416 -8.160
Tl -5.321 0.452 -7.220
Tl -9.855 -2.184 -6.291
Tl -7.646 -2.311 -11.135
```

For the offset from the most stable computed form, the calculation gives 52.9 meV/atom. As for the calculated density: 5.89 g/cm3. The calculation puts the calculated volume at 399.65 Å³ per cell. The value obtained for the total energy is -1.8432 eV per atom. As for the energy of formation: 0.04 eV per atom. The value obtained for the density of states at the Fermi level is 2.5 states/eV/f.u.